Record 1
Crystalline Rb2YTmO4 at its relaxed geometry. Source: OQMD, functional PBE.

Values from the calculation:
**Raw total energy**: -6.79 eV per atom
**ρ**: 6172 kg/m3

The structure in POSCAR format:
```
Rb2YTmO4
1.0
3.445 0.000 0.000
-1.722 2.983 0.000
0.000 0.000 12.902
Rb Y Tm O
2 1 1 4
direct
0.333 0.667 0.251 Rb
0.667 0.333 0.749 Rb
0.000 0.000 0.000 Y
0.000 0.000 0.500 Tm
0.333 0.667 0.587 O
0.333 0.667 0.909 O
0.667 0.333 0.091 O
0.667 0.333 0.413 O
```

=====

Record 2
Crystalline Er3Zn4 at its relaxed geometry. Source: OQMD, functional PBE.

Values from the calculation:
**Raw total energy**: -2.78 eV per atom
**Formation energy from the elements**: -0.099 eV/atom
**ρ**: 8509 kg/m3

The structure in POSCAR format:
```
Er3Zn4
1.0
8.206 0.000 0.000
-4.103 7.107 0.000
0.000 0.000 5.108
Er Zn
6 8
direct
0.082 0.279 0.250 Er
0.198 0.918 0.250 Er
0.279 0.198 0.750 Er
0.721 0.802 0.250 Er
0.802 0.082 0.750 Er
0.918 0.721 0.750 Er
0.117 0.494 0.750 Zn
0.333 0.667 0.250 Zn
0.378 0.883 0.750 Zn
0.494 0.378 0.250 Zn
0.506 0.622 0.750 Zn
0.622 0.117 0.250 Zn
0.667 0.333 0.750 Zn
0.883 0.506 0.250 Zn
```

=====

Record 3
Crystalline LaNi2BiAs at its relaxed geometry. Source: OQMD, functional PBE.

Values from the calculation:
**Raw total energy**: -5.60 eV per atom
**ρ**: 9129 kg/m3

The structure in POSCAR format:
```
LaNi2BiAs
1.0
4.470 0.000 0.000
0.000 4.470 0.000
0.000 0.000 9.837
La Ni Bi As
2 4 2 2
direct
0.250 0.250 0.234 La
0.750 0.750 0.766 La
0.250 0.250 0.906 Ni
0.250 0.750 0.500 Ni
0.750 0.250 0.500 Ni
0.750 0.750 0.094 Ni
0.250 0.250 0.637 Bi
0.750 0.750 0.363 Bi
0.250 0.750 0.000 As
0.750 0.250 0.000 As
```

=====

Record 4
Crystalline CoIr2W at its relaxed geometry. Source: OQMD, functional PBE.

Values from the calculation:
**Raw total energy**: -9.71 eV per atom
**Formation energy from the elements**: -0.266 eV/atom
**ρ**: 18862 kg/m3

The structure in POSCAR format:
```
CoIr2W
1.0
2.725 -4.701 0.000
2.725 4.701 0.000
0.000 0.000 4.311
Co Ir W
2 4 2
direct
0.166 0.834 0.750 Co
0.834 0.166 0.250 Co
0.157 0.331 0.750 Ir
0.331 0.157 0.250 Ir
0.669 0.843 0.750 Ir
0.843 0.669 0.250 Ir
0.330 0.670 0.250 W
0.670 0.330 0.750 W
```